# 1
Here is an optimized crystal structure of Cs2H5N2 from Alexandria. Energies are from GGA-PBE.

Computed properties:
For the density of states at the Fermi level, the calculation gives 1.4 states/eV per cell. The uncorrected energy comes out at -3.73 eV per atom. The value obtained for the size of the total moment is 0.000 μB per atom.

Cell lengths 6.132, 6.132, 8.831 Å; angles 95.34, 95.34, 31.16 degrees
Fractional coordinates of all 9 atoms:
Cs  0.147  0.147  0.298
Cs  0.853  0.853  0.702
H  0.105  0.105  0.590
H  0.411  0.411  0.297
H  0.500  0.500  0.500
H  0.589  0.589  0.703
H  0.895  0.895  0.410
N  0.401  0.401  0.412
N  0.599  0.599  0.588

***

# 2
Here is an optimized crystal structure of Cs2H4N from Alexandria. Energies are from GGA-PBE.

Computed properties:
For the excess energy over the best structure of this formula in the dataset, the calculation gives 6 meV per atom. For the density of states at the Fermi level, the calculation gives 1.1 states/eV per cell. The uncorrected energy comes out at -3.57 eV per atom. The value obtained for the size of the total moment is 0.000 μB per atom.

Cell lengths 4.758, 5.140, 8.915 Å; angles 103.32, 90.96, 101.92 degrees
Fractional coordinates of all 7 atoms:
Cs  0.000  0.000  0.000
Cs  0.490  0.739  0.421
H  0.086  0.110  0.352
H  0.128  0.475  0.712
H  0.780  0.399  0.679
H  0.991  0.324  0.534
N  0.967  0.473  0.632